(one)
A plane-wave DFT calculation with PBE-GGA was carried out for a relaxed structure of TaAlOs2.

POSCAR file:
```
TaAlOs2
1.0
4.081 0.000 0.000
0.000 2.826 0.099
0.000 2.821 5.411
Os Al Ta
2 1 1
Direct
0.500 0.235 0.264
0.000 0.040 0.972
0.500 0.721 0.774
0.000 0.505 0.490
```

Calculated values
- Calculated volume: 61 Å³ per cell
- Space group: No. 6

---

(two)
A plane-wave DFT calculation with PBE-GGA was carried out for a relaxed structure of TaAlOs2.

POSCAR file:
```
TaAlOs2
1.0
-4.382 -2.247 1.435
4.036 -3.166 -0.033
0.414 -0.550 2.720
Al Os Ta
1 2 1
Direct
0.000 0.500 0.500
0.500 0.500 0.000
0.000 0.000 0.000
0.500 0.000 0.500
```

Calculated values
- Calculated volume: 61 Å³ per cell
- Space group: No. 12

---

Which of them is least stable? Easy: (two).

---

(one)
A plane-wave DFT calculation with PBE-GGA was carried out for a relaxed structure of K2AgAu2.

POSCAR file:
```
K2AgAu2
1.0
6.267 0.000 0.000
-3.133 4.969 0.163
0.000 -2.095 9.062
Au K Ag
4 4 2
Direct
0.740 0.742 0.494
0.260 0.258 0.506
0.002 0.742 0.994
0.998 0.258 0.006
0.522 0.300 0.158
0.222 0.700 0.342
0.778 0.300 0.658
0.478 0.700 0.842
0.894 0.000 0.250
0.106 0.000 0.750
```

Calculated values
- Calculated volume: 284 Å³ per cell
- Space group: No. 15

---

(two)
A plane-wave DFT calculation with PBE-GGA was carried out for a relaxed structure of K2AgAu2.

POSCAR file:
```
K2AgAu2
1.0
9.869 0.000 0.000
0.000 9.869 0.000
0.000 0.000 2.958
K Au Ag
4 4 2
Direct
0.685 0.185 0.000
0.185 0.315 0.000
0.815 0.685 0.000
0.315 0.815 0.000
0.607 0.893 0.500
0.393 0.107 0.500
0.107 0.607 0.500
0.893 0.393 0.500
0.000 0.000 0.000
0.500 0.500 0.000
```

Calculated values
- Calculated volume: 288 Å³ per cell
- Space group: No. 127

---

Which of them is least stable? Easy: (two).

---

(one)
A plane-wave DFT calculation with PBE-GGA was carried out for a relaxed structure of RbTl2Pb.

POSCAR file:
```
RbTl2Pb
1.0
4.101 0.000 0.000
0.000 4.101 0.000
0.000 0.000 8.578
Tl Pb Rb
2 1 1
Direct
0.000 0.000 0.203
0.000 0.000 0.797
0.500 0.500 0.000
0.500 0.500 0.500
```

Calculated values
- Calculated volume: 144 Å³ per cell
- Space group: No. 123

---

(two)
A plane-wave DFT calculation with PBE-GGA was carried out for a relaxed structure of RbTl2Pb.

POSCAR file:
```
RbTl2Pb
1.0
5.256 0.000 0.000
2.628 4.599 0.027
2.628 1.555 6.490
Tl Rb Pb
2 1 1
Direct
0.725 0.226 0.325
0.275 0.774 0.675
0.500 0.000 0.000
0.000 0.500 0.500
```

Calculated values
- Calculated volume: 157 Å³ per cell
- Space group: No. 12

---

Which of them is least stable? Easy: (two).

---

(one)
A plane-wave DFT calculation with PBE-GGA was carried out for a relaxed structure of In2TeAs.

POSCAR file:
```
In2TeAs
1.0
3.246 0.000 0.000
0.000 3.246 0.000
0.000 0.000 10.260
In As Te
2 1 1
Direct
0.000 0.000 0.969
0.000 0.000 0.531
0.500 0.500 0.750
0.500 0.500 0.250
```

Calculated values
- Calculated volume: 108 Å³ per cell
- Space group: No. 123

---

(two)
A plane-wave DFT calculation with PBE-GGA was carried out for a relaxed structure of In2TeAs.

POSCAR file:
```
In2TeAs
1.0
6.630 0.000 0.000
0.000 6.630 0.000
3.315 3.315 6.573
Te In As
2 4 2
Direct
0.750 0.250 0.500
0.000 0.000 0.000
0.875 0.841 0.750
0.375 0.409 0.750
0.591 0.125 0.250
0.159 0.625 0.250
0.500 0.500 0.000
0.250 0.750 0.500
```

Calculated values
- Calculated volume: 289 Å³ per cell
- Space group: No. 122

---

Which of them is least stable? Easy: (one).